1.
First-principles (GGA-PBEsol) data for a relaxed structure of Ag3IrO4, as listed in Alexandria.

Calculated values
Calculated volume, Å³ per cell: 428.6
Density of states at the Fermi level, states/eV per atom: 0.7263
Uncorrected formation energy, eV per formula unit: -2.1

Cell and atoms, written as extended XYZ:
```
32
Lattice="-5.510 4.453 -2.114 -4.918 -4.749 2.814 0.358 3.716 6.896" Properties=species:S:1:pos:R:3 pbc="T T T"
Ag -6.628 3.998 4.877
Ag -3.534 3.159 2.939
Ag -3.443 -0.579 2.719
Ag -3.892 -3.759 2.227
Ag -0.936 -0.904 0.536
Ag -4.093 6.311 3.499
Ag -1.059 1.857 1.283
Ag -0.781 3.635 4.770
Ag -4.371 4.534 0.013
Ag -3.802 -1.987 5.726
Ag -0.846 0.868 4.035
Ag -6.715 -1.598 1.209
Ir -4.093 0.934 -0.291
Ir -3.690 1.624 6.004
Ir -6.156 0.627 4.440
Ir -6.380 1.795 1.593
O -8.069 0.551 4.665
O -2.173 1.081 -0.385
O -4.399 1.847 1.425
O -3.789 3.390 5.095
O -6.075 0.904 -0.135
O -3.783 6.312 5.628
O -6.115 -1.105 5.286
O -3.612 2.885 7.512
O -4.170 0.689 4.341
O -6.551 3.524 0.755
O -6.282 2.361 3.474
O -6.278 0.061 2.559
O -5.674 1.541 6.114
O -3.513 -0.034 6.973
O -1.769 1.586 5.840
O -8.308 1.763 1.626
```



2.
First-principles (GGA-PBEsol) data for a relaxed structure of Zn3Ag, as listed in Alexandria.

Calculated values
Calculated volume, Å³ per cell: 58.2
Density of states at the Fermi level, states/eV per atom: 0.2155
Final energy, eV/atom: -2.0332

Cell and atoms, written as extended XYZ:
```
4
Lattice="-2.169 1.543 -0.941 -2.058 -3.858 -1.580 -1.431 0.657 4.375" Properties=species:S:1:pos:R:3 pbc="T T T"
Zn -2.113 -1.158 -1.261
Zn -1.745 -1.600 1.397
Zn -1.800 1.100 1.717
Ag 0.000 0.000 0.000
```



3.
First-principles (GGA-PBEsol) data for a relaxed structure of OsC2, as listed in Alexandria.

Calculated values
Calculated volume, Å³ per cell: 27.8
Density of states at the Fermi level, states/eV per atom: 0.5024
Final energy, eV/atom: -8.8679

Cell and atoms, written as extended XYZ:
```
3
Lattice="-3.018 0.113 -0.929 2.058 -2.435 -1.611 -0.397 -2.996 0.923" Properties=species:S:1:pos:R:3 pbc="T T T"
C -1.525 -1.656 -0.622
C 0.168 -3.661 -0.994
Os 0.000 0.000 0.000
```



4.
First-principles (GGA-PBEsol) data for a relaxed structure of Li3Mn3P4O16, as listed in Alexandria.

Calculated values
Calculated volume, Å³ per cell: 582.2
Uncorrected formation energy, eV per formula unit: -53.2

Cell and atoms, written as extended XYZ:
```
52
Lattice="-0.260 -2.923 4.024 8.290 -0.350 0.281 -2.288 11.490 8.197" Properties=species:S:1:pos:R:3 pbc="T T T"
O 5.047 5.331 4.676
O 0.695 2.886 7.827
O 0.496 -1.219 3.945
O 5.848 8.063 10.578
O 5.246 9.437 8.558
O 3.512 4.517 7.955
O 0.750 0.810 6.348
O 1.956 -1.247 1.825
O 6.875 1.283 4.016
O -1.133 6.935 8.486
O 4.842 0.411 2.365
O 1.679 8.246 6.538
O 1.899 0.805 3.337
O 6.171 1.684 6.457
O 4.992 7.408 6.155
O 3.843 7.412 9.166
O 3.831 -1.604 4.096
O 2.823 2.229 6.702
O 0.950 5.603 7.880
O 4.064 -0.028 5.965
O 6.165 -1.146 5.063
O 3.786 9.465 10.678
O -0.106 0.155 1.925
O 4.793 2.614 4.623
O -0.429 6.534 6.045
O 2.919 5.989 5.801
O -1.425 4.687 7.544
O 7.168 3.531 4.959
O 1.912 9.822 8.407
O 0.900 7.806 10.137
O -0.422 9.363 7.440
O 2.230 3.700 4.548
P 1.157 -0.362 2.813
P 1.461 1.625 7.357
P 4.282 6.592 5.145
P 6.297 2.327 5.057
P -0.554 5.891 7.446
P 4.585 8.580 9.690
P 4.615 -1.376 5.341
P 1.128 9.593 7.162
Li 3.110 1.333 4.635
Li 2.632 6.884 7.867
Li -1.144 5.745 4.099
Li -0.271 2.411 2.118
Li 4.015 -1.636 2.153
Li 6.014 5.806 10.385
Mn 0.000 0.000 0.000
Mn -0.605 8.555 9.185
Mn 2.871 4.109 6.251
Mn 0.934 4.188 9.195
Mn 6.347 -0.337 3.317
Mn 4.808 4.029 3.307
```



5.
First-principles (GGA-PBEsol) data for a relaxed structure of Ba2MoOs, as listed in Alexandria.

Calculated values
Calculated volume, Å³ per cell: 94.1
Density of states at the Fermi level, states/eV per atom: 1.8171
Final energy, eV/atom: -5.6430

Cell and atoms, written as extended XYZ:
```
4
Lattice="-3.106 0.191 -4.047 -1.568 -4.321 -2.220 -4.866 -1.478 0.445" Properties=species:S:1:pos:R:3 pbc="T T T"
Ba -7.155 -4.206 -4.367
Ba 0.000 0.000 0.000
Mo -4.770 -2.804 -2.911
Os -2.385 -1.402 -1.456
```



6.
First-principles (GGA-PBEsol) data for a relaxed structure of SiSb2TeIr, as listed in Alexandria.

Calculated values
Calculated volume, Å³ per cell: 136.5
Density of states at the Fermi level, states/eV per atom: 0.7434
Uncorrected formation energy, eV per formula unit: 3.9

Cell and atoms, written as extended XYZ:
```
5
Lattice="-1.157 3.593 -3.249 -2.423 -3.321 -2.811 -4.635 1.025 2.784" Properties=species:S:1:pos:R:3 pbc="T T T"
Si -4.107 0.648 -1.638
Te -2.317 0.512 1.392
Ir 0.000 0.000 0.000
Sb -1.211 -1.661 -1.405
Sb -0.578 1.797 -1.624
```